# 1
Density functional theory data (PBE) for HgSb2Os after structural relaxation.

Cell and atoms, written as POSCAR:
```
HgSb2Os
1.0
3.1911 0.0000 0.0000
0.0000 3.1911 0.0000
0.0000 0.0000 8.8646
Hg Os Sb
1 1 2
direct
0.0000 0.0000 0.5444 Hg
0.5000 0.5000 0.7629 Os
0.0000 0.0000 0.9323 Sb
0.5000 0.5000 0.2605 Sb
```

Values from the calculation:
Raw formation energy   42.6 kJ per mole of atoms
Total DFT energy (no corrections)   -4.5028 eV per atom
Mass density   11.669 Mg/m³
M_tot   0.0 μB/f.u.

# 2
Density functional theory data (PBE) for HgSb2Os after structural relaxation.

Cell and atoms, written as POSCAR:
```
HgSb2Os
1.0
9.8022 -0.0941 -0.0552
9.2773 3.1660 -0.0552
9.2773 1.4937 2.7921
Hg Os Sb
1 1 2
direct
0.4890 0.4890 0.4890 Hg
0.7457 0.7457 0.7457 Os
0.0161 0.0161 0.0161 Sb
0.2492 0.2492 0.2492 Sb
```

Values from the calculation:
Raw formation energy   50.8 kJ per mole of atoms
Total DFT energy (no corrections)   -4.4171 eV per atom
Mass density   11.601 Mg/m³
M_tot   0.0 μB/f.u.

# 3
Density functional theory data (PBE) for HgSb2Os after structural relaxation.

Cell and atoms, written as POSCAR:
```
HgSb2Os
1.0
5.5174 0.1548 0.0000
2.0305 5.1325 0.0000
-3.7740 -2.6437 3.0388
Hg Os Sb
1 1 2
direct
0.5000 0.5000 0.0000 Hg
0.7500 0.2500 0.5000 Os
0.0000 0.0000 0.0000 Sb
0.2500 0.7500 0.5000 Sb
```

Values from the calculation:
Raw formation energy   81.6 kJ per mole of atoms
Total DFT energy (no corrections)   -4.0980 eV per atom
Mass density   12.378 Mg/m³
M_tot   0.0 μB/f.u.